Entry from Alexandria: a relaxed structure of PmGdMgPb (GGA-PBE).

CIF file:
```
data_PmGdMgPb
_chemical_formula_sum 'Pm1 Gd1 Mg1 Pb1'
_cell_length_a 5.444
_cell_length_b 5.444
_cell_length_c 5.444
_cell_angle_alpha 60.00
_cell_angle_beta 60.00
_cell_angle_gamma 60.00
_space_group_name_H-M_alt 'P 1'
_space_group_IT_number 1
_space_group_name_Hall 'P 1'
loop_
_atom_site_label
_atom_site_type_symbol
_atom_site_fract_x
_atom_site_fract_y
_atom_site_fract_z
_atom_site_occupancy
Pm1 Pm 0.000 0.000 0.000 1
Gd1 Gd 0.500 0.500 0.500 1
Mg1 Mg 0.750 0.750 0.750 1
Pb1 Pb 0.250 0.250 0.250 1
```

## Properties
Raw total energy = -6.35 eV per atom
Calculated volume = 28.52 A^3/atom
Energy relative to the elements = -317 meV/atom